Computed, not measured: crystalline Zr2CdCl at its relaxed geometry at the GGA-PBE level of DFT.

Lattice parameters (Å, degrees): 4.280 4.280 20.563 90.00 90.00 90.00
Space group I-42d (No. 122)
One atom of each set of equivalent atoms:
1 Zr 0.247 0.250 0.125 (multiplicity 8)
2 Cd 0.000 0.000 0.500 (multiplicity 4)
3 Cl 0.000 0.000 0.000 (multiplicity 4)

For the total magnetization, the calculation gives 0.000 μB/f.u. The crystal system is tetragonal. Its excess energy over the best structure of this formula in the dataset is 634 meV per atom. The value obtained for the density of states at the Fermi level is 9.1 states/eV per cell. As for the formation energy without anion corrections: 0.46 eV per formula unit.